CaNiPt2 at its PBEsol-relaxed geometry. Source: the Alexandria database, functional SCAN.

```
CaNiPt2
1.0
-1.133 2.763 -2.631
1.654 -2.117 -2.936
-3.714 -2.261 2.236
Ni Pt Ca
1 2 1
direct
0.000 0.000 0.000 Ni
0.250 0.750 0.500 Pt
0.750 0.250 0.500 Pt
0.500 0.500 0.000 Ca
```

Computed properties:
energy relative to the elements = -0.367 eV/atom
energy = -41.92 eV per atom
Fermi-level density of states = 0.702 states/eV/atom
total moment = 0.318 μB/atom